1.
Here is a relaxed structure of CaTm2Ga from the Alexandria database. Energies are from PBE.

Lattice parameters (Å, degrees): 3.539 3.539 9.164 90.00 90.00 90.00
Atoms (fractional coordinates):
Ca 0.000 0.000 0.000
Tm 0.500 0.500 0.311
Tm 0.500 0.500 0.689
Ga 0.000 0.000 0.500

## Properties
Its energy of formation is -0.233 eV/atom. Its energy is -3.73 eV/atom. Its density of states at the Fermi level is 3.03 states/eV/cell. The value obtained for the magnetization is 0.0 μB per cell. The space group is P4/mmm, No. 123.



2.
Here is a relaxed structure of Ca2TmGa4 from the Alexandria database. Energies are from PBE.

Lattice parameters (Å, degrees): 9.999 9.999 9.999 157.21 155.10 34.01
Atoms (fractional coordinates):
Ca 0.188 0.188 0.000
Ca 0.812 0.812 0.000
Tm 0.500 0.000 0.500
Ga 0.064 0.564 0.500
Ga 0.363 0.363 0.000
Ga 0.637 0.637 0.000
Ga 0.936 0.436 0.500

## Properties
Its energy of formation is -0.516 eV/atom. Its energy is -3.46 eV/atom. Its density of states at the Fermi level is 3.51 states/eV/cell. The value obtained for the magnetization is 0.0 μB per cell. The space group is Immm, No. 71.



3.
Here is a relaxed structure of CaTm4Ga4 from the Alexandria database. Energies are from PBE.

Lattice parameters (Å, degrees): 9.217 9.217 5.819 90.00 90.00 90.00
Atoms (fractional coordinates):
Ca 0.250 0.250 0.250
Ca 0.750 0.750 0.750
Tm 0.086 0.652 0.130
Tm 0.152 0.914 0.630
Tm 0.348 0.586 0.630
Tm 0.414 0.848 0.130
Tm 0.586 0.152 0.870
Tm 0.652 0.414 0.370
Tm 0.848 0.086 0.370
Tm 0.914 0.348 0.870
Ga 0.033 0.605 0.632
Ga 0.105 0.967 0.132
Ga 0.395 0.533 0.132
Ga 0.467 0.895 0.632
Ga 0.533 0.105 0.368
Ga 0.605 0.467 0.868
Ga 0.895 0.033 0.868
Ga 0.967 0.395 0.368

## Properties
Its energy of formation is -0.343 eV/atom. Its energy is -3.90 eV/atom. Its density of states at the Fermi level is 15.25 states/eV/cell. The value obtained for the magnetization is 0.0 μB per cell. The space group is P4_2/n, No. 86.



4.
Here is a relaxed structure of CaTm2Ga4 from the Alexandria database. Energies are from PBE.

Lattice parameters (Å, degrees): 9.625 9.625 9.625 154.96 154.75 35.85
Atoms (fractional coordinates):
Ca 0.000 0.000 0.000
Tm 0.187 0.687 0.500
Tm 0.813 0.313 0.500
Ga 0.350 0.850 0.500
Ga 0.431 0.431 0.000
Ga 0.569 0.569 0.000
Ga 0.650 0.150 0.500

## Properties
Its energy of formation is -0.541 eV/atom. Its energy is -3.83 eV/atom. Its density of states at the Fermi level is 5.14 states/eV/cell. The value obtained for the magnetization is 0.0 μB per cell. The space group is Immm, No. 71.



5.
Here is a relaxed structure of CaTm2Ga from the Alexandria database. Energies are from PBE.

Lattice parameters (Å, degrees): 6.431 6.431 6.431 44.63 44.63 44.63
Atoms (fractional coordinates):
Ca 0.000 0.000 0.000
Tm 0.220 0.220 0.220
Tm 0.780 0.780 0.780
Ga 0.500 0.500 0.500

## Properties
Its energy of formation is -0.029 eV/atom. Its energy is -3.52 eV/atom. Its density of states at the Fermi level is 4.15 states/eV/cell. The value obtained for the magnetization is 0.0 μB per cell. The space group is R-3m, No. 166.



6.
Here is a relaxed structure of CaTm3Ga4 from the Alexandria database. Energies are from PBE.

Lattice parameters (Å, degrees): 5.044 5.044 7.047 90.00 90.00 90.00
Atoms (fractional coordinates):
Ca 0.000 0.000 0.000
Tm 0.000 0.000 0.500
Tm 0.500 0.500 0.000
Tm 0.500 0.500 0.500
Ga 0.000 0.500 0.255
Ga 0.000 0.500 0.745
Ga 0.500 0.000 0.255
Ga 0.500 0.000 0.745

## Properties
Its energy of formation is -0.525 eV/atom. Its energy is -3.97 eV/atom. Its density of states at the Fermi level is 4.28 states/eV/cell. The value obtained for the magnetization is 0.0 μB per cell. The space group is P4/mmm, No. 123.



7.
Here is a relaxed structure of CaTm2Zn2Ga2 from the Alexandria database. Energies are from PBE.

Lattice parameters (Å, degrees): 9.473 9.473 9.473 27.38 27.38 27.38
Atoms (fractional coordinates):
Ca 0.000 0.000 0.000
Tm 0.128 0.128 0.128
Tm 0.872 0.872 0.872
Zn 0.408 0.408 0.408
Zn 0.592 0.592 0.592
Ga 0.254 0.254 0.254
Ga 0.746 0.746 0.746

## Properties
Its energy of formation is -0.372 eV/atom. Its energy is -3.16 eV/atom. Its density of states at the Fermi level is 2.84 states/eV/cell. The value obtained for the magnetization is 0.0 μB per cell. The space group is R-3m, No. 166.



8.
Here is a relaxed structure of CaVGa3 from the Alexandria database. Energies are from PBE.

Lattice parameters (Å, degrees): 4.796 4.796 4.796 90.00 90.00 90.00
Atoms (fractional coordinates):
Ca 0.000 0.000 0.000
V 0.500 0.500 0.500
Ga 0.000 0.500 0.500
Ga 0.500 0.000 0.500
Ga 0.500 0.500 0.000

## Properties
Its energy of formation is -0.130 eV/atom. Its energy is -4.17 eV/atom. Its density of states at the Fermi level is 1.02 states/eV/cell. The value obtained for the magnetization is 0.0 μB per cell. The space group is Pm-3m, No. 221.



9.
Here is a relaxed structure of CaV2Ga2 from the Alexandria database. Energies are from PBE.

Lattice parameters (Å, degrees): 7.869 7.869 2.735 90.00 90.00 90.00
Atoms (fractional coordinates):
Ca 0.000 0.000 0.000
Ca 0.500 0.500 0.000
V 0.107 0.393 0.000
V 0.393 0.893 0.000
V 0.607 0.107 0.000
V 0.893 0.607 0.000
Ga 0.182 0.682 0.500
Ga 0.318 0.182 0.500
Ga 0.682 0.818 0.500
Ga 0.818 0.318 0.500

## Properties
Its energy of formation is -0.082 eV/atom. Its energy is -5.34 eV/atom. Its density of states at the Fermi level is 9.35 states/eV/cell. The value obtained for the magnetization is 0.0 μB per cell. The space group is P4/mbm, No. 127.



10.
Here is a relaxed structure of CaVGa2 from the Alexandria database. Energies are from PBE.

Lattice parameters (Å, degrees): 5.785 5.785 5.785 44.63 44.63 44.63
Atoms (fractional coordinates):
Ca 0.000 0.000 0.000
V 0.500 0.500 0.500
Ga 0.210 0.210 0.210
Ga 0.790 0.790 0.790

## Properties
Its energy of formation is -0.116 eV/atom. Its energy is -4.41 eV/atom. Its density of states at the Fermi level is 2.41 states/eV/cell. The value obtained for the magnetization is 3.2 μB per cell. The space group is R-3m, No. 166.



11.
Here is a relaxed structure of CaVGa2 from the Alexandria database. Energies are from PBE.

Lattice parameters (Å, degrees): 9.643 9.643 9.643 151.48 151.48 40.78
Atoms (fractional coordinates):
Ca 0.000 0.000 0.000
Ca 0.750 0.250 0.500
V 0.250 0.750 0.500
V 0.500 0.500 0.000
Ga 0.280 0.625 0.155
Ga 0.375 0.530 0.655
Ga 0.470 0.125 0.845
Ga 0.875 0.720 0.345

## Properties
Its energy of formation is 0.255 eV/atom. Its energy is -4.04 eV/atom. Its density of states at the Fermi level is 5.64 states/eV/cell. The value obtained for the magnetization is 6.4 μB per cell. The space group is I-42d, No. 122.



12.
Here is a relaxed structure of CaV2Ga2 from the Alexandria database. Energies are from PBE.

Lattice parameters (Å, degrees): 6.748 6.748 6.748 146.94 146.94 47.45
Atoms (fractional coordinates):
Ca 0.000 0.000 0.000
V 0.250 0.750 0.500
V 0.750 0.250 0.500
Ga 0.393 0.393 0.000
Ga 0.607 0.607 0.000

## Properties
Its energy of formation is -0.050 eV/atom. Its energy is -5.31 eV/atom. Its density of states at the Fermi level is 6.04 states/eV/cell. The value obtained for the magnetization is 1.3 μB per cell. The space group is I4/mmm, No. 139.



13.
Here is a relaxed structure of CaV2GaW from the Alexandria database. Energies are from PBE.

Lattice parameters (Å, degrees): 4.655 4.655 5.659 90.00 90.00 90.00
Atoms (fractional coordinates):
Ca 0.000 0.000 0.000
V 0.000 0.500 0.500
V 0.500 0.000 0.500
Ga 0.500 0.500 0.000
W 0.000 0.000 0.500

## Properties
Its energy of formation is 1.243 eV/atom. Its energy is -6.00 eV/atom. Its density of states at the Fermi level is 7.66 states/eV/cell. The value obtained for the magnetization is 2.7 μB per cell. The space group is P4/mmm, No. 123.



14.
Here is a relaxed structure of Ca2GaW from the Alexandria database. Energies are from PBE.

Lattice parameters (Å, degrees): 6.437 6.437 6.437 101.23 101.23 127.62
Atoms (fractional coordinates):
Ca 0.110 0.625 0.985
Ca 0.375 0.360 0.485
Ca 0.640 0.125 0.015
Ca 0.875 0.890 0.515
Ga 0.000 0.000 0.000
Ga 0.750 0.250 0.500
W 0.250 0.750 0.500
W 0.500 0.500 0.000

## Properties
Its energy of formation is 0.892 eV/atom. Its energy is -4.10 eV/atom. Its density of states at the Fermi level is 7.95 states/eV/cell. The value obtained for the magnetization is 3.2 μB per cell. The space group is I-42d, No. 122.



15.
Here is a relaxed structure of Ca3GaW from the Alexandria database. Energies are from PBE.

Lattice parameters (Å, degrees): 5.624 5.624 5.624 90.00 90.00 90.00
Atoms (fractional coordinates):
Ca 0.000 0.000 0.500
Ca 0.000 0.500 0.000
Ca 0.500 0.000 0.000
Ga 0.000 0.000 0.000
W 0.500 0.500 0.500

## Properties
Its energy of formation is 1.026 eV/atom. Its energy is -3.37 eV/atom. Its density of states at the Fermi level is 3.44 states/eV/cell. The value obtained for the magnetization is 4.8 μB per cell. The space group is Pm-3m, No. 221.



16.
Here is a relaxed structure of Ca3GaW from the Alexandria database. Energies are from PBE.

Lattice parameters (Å, degrees): 5.530 5.530 5.530 90.00 90.00 90.00
Atoms (fractional coordinates):
Ca 0.000 0.000 0.500
Ca 0.000 0.500 0.000
Ca 0.500 0.000 0.000
Ga 0.500 0.500 0.500
W 0.000 0.000 0.000

## Properties
Its energy of formation is 1.008 eV/atom. Its energy is -3.39 eV/atom. Its density of states at the Fermi level is 2.29 states/eV/cell. The value obtained for the magnetization is 0.9 μB per cell. The space group is Pm-3m, No. 221.



17.
Here is a relaxed structure of CaGaW2 from the Alexandria database. Energies are from PBE.

Lattice parameters (Å, degrees): 10.055 10.055 10.055 154.34 154.34 36.61
Atoms (fractional coordinates):
Ca 0.000 0.000 0.000
Ca 0.750 0.250 0.500
Ga 0.250 0.750 0.500
Ga 0.500 0.500 0.000
W 0.278 0.625 0.153
W 0.375 0.528 0.653
W 0.472 0.125 0.847
W 0.875 0.722 0.347

## Properties
Its energy of formation is 1.015 eV/atom. Its energy is -6.72 eV/atom. Its density of states at the Fermi level is 9.10 states/eV/cell. The value obtained for the magnetization is 0.0 μB per cell. The space group is I-42d, No. 122.



18.
Here is a relaxed structure of CaYGa from the Alexandria database. Energies are from PBE.

Lattice parameters (Å, degrees): 5.859 5.859 7.140 90.00 90.00 134.80
Atoms (fractional coordinates):
Ca 0.206 0.794 0.750
Ca 0.794 0.206 0.250
Y 0.500 0.500 0.000
Y 0.500 0.500 0.500
Ga 0.099 0.901 0.250
Ga 0.901 0.099 0.750

## Properties
Its energy of formation is -0.341 eV/atom. Its energy is -4.17 eV/atom. Its density of states at the Fermi level is 3.91 states/eV/cell. The value obtained for the magnetization is 0.0 μB per cell. The space group is Cmcm, No. 63.



19.
Here is a relaxed structure of Ca5YGa6 from the Alexandria database. Energies are from PBE.

Lattice parameters (Å, degrees): 9.003 9.003 5.225 106.84 106.84 121.12
Atoms (fractional coordinates):
Ca 0.000 0.000 0.000
Ca 0.162 0.838 0.500
Ca 0.324 0.676 0.000
Ca 0.676 0.324 0.000
Ca 0.838 0.162 0.500
Y 0.500 0.500 0.500
Ga 0.101 0.429 0.265
Ga 0.273 0.273 0.773
Ga 0.429 0.101 0.265
Ga 0.571 0.899 0.735
Ga 0.727 0.727 0.227
Ga 0.899 0.571 0.735

## Properties
Its energy of formation is -0.467 eV/atom. Its energy is -3.35 eV/atom. Its density of states at the Fermi level is 6.28 states/eV/cell. The value obtained for the magnetization is 0.0 μB per cell. The space group is C2/m, No. 12.



20.
Here is a relaxed structure of CaYGa from the Alexandria database. Energies are from PBE.

Lattice parameters (Å, degrees): 6.262 6.262 6.909 119.54 119.54 46.82
Atoms (fractional coordinates):
Ca 0.000 0.000 0.000
Ca 0.744 0.744 0.416
Y 0.127 0.127 0.642
Y 0.380 0.380 0.224
Ga 0.423 0.423 0.693
Ga 0.703 0.703 0.924

## Properties
Its energy of formation is -0.315 eV/atom. Its energy is -4.15 eV/atom. Its density of states at the Fermi level is 4.65 states/eV/cell. The value obtained for the magnetization is 0.0 μB per cell. The space group is Cm, No. 8.



21.
Here is a relaxed structure of CaYGa from the Alexandria database. Energies are from PBE.

Lattice parameters (Å, degrees): 6.962 6.962 7.274 105.43 105.43 30.02
Atoms (fractional coordinates):
Ca 0.143 0.143 0.318
Ca 0.857 0.857 0.682
Y 0.132 0.132 0.822
Y 0.868 0.868 0.178
Ga 0.500 0.500 0.000
Ga 0.500 0.500 0.500

## Properties
Its energy of formation is -0.343 eV/atom. Its energy is -4.17 eV/atom. Its density of states at the Fermi level is 4.09 states/eV/cell. The value obtained for the magnetization is 0.0 μB per cell. The space group is C2/m, No. 12.



22.
Here is a relaxed structure of CaYGa3 from the Alexandria database. Energies are from PBE.

Lattice parameters (Å, degrees): 13.352 13.352 4.257 90.00 90.00 162.36
Atoms (fractional coordinates):
Ca 0.205 0.795 0.750
Ca 0.795 0.205 0.250
Y 0.069 0.931 0.250
Y 0.931 0.069 0.750
Ga 0.331 0.669 0.750
Ga 0.384 0.616 0.250
Ga 0.477 0.523 0.250
Ga 0.523 0.477 0.750
Ga 0.616 0.384 0.750
Ga 0.669 0.331 0.250

## Properties
Its energy of formation is -0.581 eV/atom. Its energy is -4.09 eV/atom. Its density of states at the Fermi level is 4.83 states/eV/cell. The value obtained for the magnetization is 0.0 μB per cell. The space group is Cmcm, No. 63.



23.
Here is a relaxed structure of CaYGa from the Alexandria database. Energies are from PBE.

Lattice parameters (Å, degrees): 5.017 5.017 7.428 90.00 90.00 90.00
Atoms (fractional coordinates):
Ca 0.250 0.250 0.201
Ca 0.750 0.750 0.799
Y 0.250 0.250 0.688
Y 0.750 0.750 0.312
Ga 0.250 0.750 0.500
Ga 0.750 0.250 0.500

## Properties
Its energy of formation is -0.222 eV/atom. Its energy is -4.05 eV/atom. Its density of states at the Fermi level is 3.44 states/eV/cell. The value obtained for the magnetization is 0.0 μB per cell. The space group is P4/nmm, No. 129.



24.
Here is a relaxed structure of CaY4Ga4 from the Alexandria database. Energies are from PBE.

Lattice parameters (Å, degrees): 9.259 9.259 5.933 90.00 90.00 90.00
Atoms (fractional coordinates):
Ca 0.250 0.250 0.250
Ca 0.750 0.750 0.750
Y 0.079 0.656 0.130
Y 0.156 0.921 0.630
Y 0.344 0.579 0.630
Y 0.421 0.844 0.130
Y 0.579 0.156 0.870
Y 0.656 0.421 0.370
Y 0.844 0.079 0.370
Y 0.921 0.344 0.870
Ga 0.029 0.608 0.628
Ga 0.108 0.971 0.128
Ga 0.392 0.529 0.128
Ga 0.471 0.892 0.628
Ga 0.529 0.108 0.372
Ga 0.608 0.471 0.872
Ga 0.892 0.029 0.872
Ga 0.971 0.392 0.372

## Properties
Its energy of formation is -0.386 eV/atom. Its energy is -4.83 eV/atom. Its density of states at the Fermi level is 15.91 states/eV/cell. The value obtained for the magnetization is 0.0 μB per cell. The space group is P4_2/n, No. 86.



25.
Here is a relaxed structure of CaYGa6 from the Alexandria database. Energies are from PBE.

Lattice parameters (Å, degrees): 4.415 6.008 6.117 90.00 90.00 90.00
Atoms (fractional coordinates):
Ca 0.000 0.000 0.000
Y 0.500 0.500 0.212
Ga 0.000 0.256 0.467
Ga 0.000 0.500 0.860
Ga 0.000 0.744 0.467
Ga 0.500 0.000 0.354
Ga 0.500 0.248 0.746
Ga 0.500 0.752 0.746

## Properties
Its energy of formation is -0.419 eV/atom. Its energy is -3.75 eV/atom. Its density of states at the Fermi level is 3.44 states/eV/cell. The value obtained for the magnetization is 0.0 μB per cell. The space group is Pmm2, No. 25.